Entry from Alexandria via LeMat-Bulk: LaPmCl after structural relaxation (PBE).

The distance to the lowest polymorph of the same formula is 0.051 eV per atom. The calculation puts the formation energy without anion corrections at -0.86 eV/atom. Its crystal system is monoclinic.

The structure belongs to space group Cc (No. 9); the cell edges are 19.275, 5.846 and 13.631 Å and the angles 90.00°, 134.00° and 90.00°. The inequivalent atoms are La at (0.000, 0.230, 0.000), La at (0.155, 0.269, 0.656), La at (0.409, 0.256, 0.005), Pm at (0.179, 0.193, 0.969), Pm at (0.248, 0.253, 0.347), Pm at (0.484, 0.197, 0.772), Cl at (0.190, 0.311, 0.483), Cl at (0.328, 0.003, 0.253) and Cl at (0.472, 0.307, 0.264).